Density functional theory data (PBE) for an optimized crystal structure of ZrSiW2.

a = 4.2697 Å, b = 4.2697 Å, c = 7.3362 Å
α = 90.00°, β = 90.00°, γ = 90.00°
Closest atoms and distances in Å follow each position.
Space group I-4m2 (No. 119)
Unique sites:
Zr 0.0000 0.0000 0.0000  8 W 2.81-3.02, 4 Si 2.81
Si 0.0000 0.5000 0.7500  8 W 2.81-3.02, 4 Zr 2.81
W 0.0000 0.0000 0.5000  4 W 2.81, 4 Si 2.81, 4 Zr 3.02
W 0.0000 0.5000 0.2500  4 Zr 2.81, 4 W 2.81, 4 Si 3.02

Values from the calculation:
DFT total energy	-79.19	eV for the cell shown
energy relative to the elements, uncorrected	71	meV per atom
M_tot	0.00	μB/atom

Density functional theory data (PBE) for an optimized crystal structure of HoMgNi.

a = 7.7801 Å, b = 4.5131 Å, c = 7.9236 Å
α = 90.00°, β = 109.32°, γ = 90.00°
Closest atoms and distances in Å follow each position.
Space group C2/m (No. 12)
Unique sites:
Ho 0.2489 0.0000 0.2502  4 Ni 2.72-2.79
Mg 0.0000 0.0000 0.5000  6 Ni 2.73-2.74
Mg 0.0000 0.5000 0.0000  2 Ni 2.88, 6 Ho 3.20-3.21
Ni 0.1277 0.5000 0.3856  4 Ho 2.72-2.79, 4 Mg 2.73-2.88

Values from the calculation:
E_form	-0.48	eV per formula unit
DFT total energy	-49.72	eV for the cell shown
M_tot	0.00	μB/atom

Density functional theory data (PBE) for an optimized crystal structure of Ce2BeNi3P4.

a = 4.0547 Å, b = 4.0547 Å, c = 8.9874 Å
α = 90.00°, β = 90.00°, γ = 90.00°
Closest atoms and distances in Å follow each position.
Space group P-4m2 (No. 115)
Unique sites:
Ce 0.0000 0.5000 0.2489  8 P 3.02-3.06, 7 Ni 3.03-3.26, 2 Be 3.03
Be 0.0000 0.0000 0.5000  4 P 2.34
Ni 0.0000 0.5000 0.8866  5 P 2.27-2.30
Ni 0.5000 0.5000 0.5000  4 P 2.34
P 0.0000 0.0000 0.0000  4 Ni 2.27
P 0.0000 0.5000 0.6305  3 Ni 2.30-2.34, 2 Be 2.34
P 0.5000 0.5000 0.0000  4 Ni 2.27

Values from the calculation:
E_form	-9.18	eV per formula unit
DFT total energy	-63.76	eV for the cell shown
M_tot	0.09	μB/atom

Density functional theory data (PBE) for an optimized crystal structure of Zn2AsP.

a = 2.7220 Å, b = 2.7220 Å, c = 9.2712 Å
α = 90.00°, β = 90.00°, γ = 90.00°
Closest atoms and distances in Å follow each position.
Space group P4mm (No. 99)
Unique sites:
Zn 0.0000 0.0000 0.0000  8 Zn 2.72-2.78, 4 P 2.74
Zn 0.5000 0.5000 0.2171  8 Zn 2.72-2.78, 4 As 2.91
As 0.0000 0.0000 0.4521  4 As 2.72, 4 Zn 2.91
P 0.5000 0.5000 0.7893  4 P 2.72, 4 Zn 2.74

Values from the calculation:
E_form	1.26	eV per formula unit
DFT total energy	-11.35	eV for the cell shown
M_tot	0.00	μB/atom

Density functional theory data (PBE) for an optimized crystal structure of ScBeZn2.

a = 6.9310 Å, b = 3.9779 Å, c = 5.0995 Å
α = 90.00°, β = 116.27°, γ = 90.00°
Closest atoms and distances in Å follow each position.
Space group C2/m (No. 12)
Unique sites:
Sc 0.0000 0.0000 0.0000  8 Zn 2.83-2.91
Be 0.0000 0.5000 0.5000  6 Zn 2.38-2.39
Zn 0.2116 0.0000 0.6363  3 Be 2.38-2.39, 3 Zn 2.61-2.63

Values from the calculation:
E_form	-0.38	eV per formula unit
DFT total energy	-25.97	eV for the cell shown
M_tot	0.00	μB/atom

Density functional theory data (PBE) for an optimized crystal structure of NaPuBi2.

a = 3.4943 Å, b = 3.4943 Å, c = 9.5886 Å
α = 90.00°, β = 90.00°, γ = 90.00°
Closest atoms and distances in Å follow each position.
Space group P4/mmm (No. 123)
Unique sites:
Na 0.0000 0.0000 0.0000  8 Bi 3.46, 4 Na 3.49
Pu 0.0000 0.0000 0.5000  8 Bi 3.42, 4 Pu 3.49
Bi 0.5000 0.5000 0.2532  4 Pu 3.42, 4 Na 3.46, 4 Bi 3.49

Values from the calculation:
E_form	-1.41	eV per formula unit
DFT total energy	-24.82	eV for the cell shown
M_tot	1.46	μB/atom

Density functional theory data (PBE) for an optimized crystal structure of Ac4In2N.

a = 5.2616 Å, b = 5.2616 Å, c = 17.3752 Å
α = 90.00°, β = 90.00°, γ = 90.00°
Closest atoms and distances in Å follow each position.
Space group I4/mmm (No. 139)
Unique sites:
Ac 0.0000 0.0000 0.1669  1 N 2.90
Ac 0.0000 0.5000 0.0000  2 N 2.63
In 0.0000 0.0000 0.3636  9 Ac 3.42-3.76
N 0.0000 0.0000 0.0000  6 Ac 2.63-2.90

Values from the calculation:
DFT total energy	-67.99	eV for the cell shown
energy relative to the elements, uncorrected	-537	meV per atom
M_tot	0.00	μB/atom

Density functional theory data (PBE) for an optimized crystal structure of CsHgPdF6.

a = 5.8838 Å, b = 5.9237 Å, c = 6.2421 Å
α = 90.74°, β = 91.27°, γ = 116.36°
Closest atoms and distances in Å follow each position.
Space group P1 (No. 1)
Unique sites:
Cs 0.0000 0.0000 0.0000  6 F 2.97-3.02
Hg 0.3267 0.6756 0.5004  6 F 2.26-2.45
Pd 0.6700 0.3295 0.4994  5 F 1.99-2.23
F 0.3872 0.3443 0.3278  1 Pd 1.99
F 0.4037 0.0224 0.7024  1 Pd 2.23, 1 Hg 2.26
F 0.6515 0.0382 0.3231  1 Pd 2.00
F 0.6588 0.6098 0.6726  1 Pd 2.00
F 0.9647 0.3451 0.6738  1 Pd 1.99
F 0.9757 0.5983 0.2975  1 Pd 2.23, 1 Hg 2.26

Values from the calculation:
DFT total energy	-32.93	eV for the cell shown
energy relative to the elements, uncorrected	-1706	meV per atom
M_tot	0.11	μB/atom

Density functional theory data (PBE) for an optimized crystal structure of MgCr2Br.

a = 7.7418 Å, b = 7.7418 Å, c = 6.1559 Å
α = 90.00°, β = 90.00°, γ = 90.00°
Closest atoms and distances in Å follow each position.
Space group I-42d (No. 122)
Unique sites:
Mg 0.0000 0.0000 0.0000  4 Cr 3.00, 2 Br 3.08
Cr 0.2206 0.7500 0.6250  2 Br 2.69, 2 Mg 3.00
Br 0.0000 0.0000 0.5000  4 Cr 2.69

Values from the calculation:
DFT total energy	-78.63	eV for the cell shown
energy relative to the elements, uncorrected	714	meV per atom
M_tot	2.29	μB/atom

Density functional theory data (PBE) for an optimized crystal structure of Li2CaReOs.

a = 3.9907 Å, b = 3.9907 Å, c = 5.0037 Å
α = 90.00°, β = 90.00°, γ = 90.00°
Closest atoms and distances in Å follow each position.
Space group P4/mmm (No. 123)
Unique sites:
Li 0.0000 0.5000 0.0000  2 Ca 2.00
Ca 0.0000 0.0000 0.0000  4 Li 2.00
Re 0.5000 0.5000 0.5000  4 Os 2.82
Os 0.0000 0.0000 0.5000  2 Ca 2.50

Values from the calculation:
E_form	8.84	eV per formula unit
DFT total energy	-20.66	eV for the cell shown
M_tot	0.00	μB/atom

Density functional theory data (PBE) for an optimized crystal structure of V3Pt5.

a = 2.7347 Å, b = 2.7347 Å, c = 15.6699 Å
α = 90.00°, β = 90.00°, γ = 90.00°
Closest atoms and distances in Å follow each position.
Space group P4/mmm (No. 123)
Unique sites:
V 0.0000 0.0000 0.0000  8 Pt 2.67, 4 V 2.73
V 0.5000 0.5000 0.3760  8 Pt 2.66-2.74, 4 V 2.73
Pt 0.0000 0.0000 0.2593  4 V 2.66, 8 Pt 2.73-2.95
Pt 0.0000 0.0000 0.5000  4 Pt 2.73, 8 V 2.74
Pt 0.5000 0.5000 0.1173  4 V 2.67, 8 Pt 2.73-2.95

Values from the calculation:
E_form	-4.37	eV per formula unit
DFT total energy	-61.92	eV for the cell shown
M_tot	0.00	μB/atom

Density functional theory data (PBE) for an optimized crystal structure of Rb2NdB2S6.

a = 11.9361 Å, b = 6.7415 Å, c = 8.6740 Å
α = 90.00°, β = 118.41°, γ = 90.00°
Closest atoms and distances in Å follow each position.
Space group C2/m (No. 12)
Unique sites:
Rb 0.2027 0.0000 0.1767  8 S 3.44-3.66
Nd 0.0000 0.0000 0.5000  6 S 2.79-2.85
B 0.0680 0.5000 0.2793  3 S 1.80-1.82
S 0.0224 0.2707 0.7649  1 B 1.82
S 0.2349 0.5000 0.3407  1 B 1.80

Values from the calculation:
DFT total energy	-110.77	eV for the cell shown
energy relative to the elements, uncorrected	-960	meV per atom
M_tot	0.00	μB/atom